1.
# Co5PtSe12 (GGA-PBE, relaxed)
# **M_tot**: 0.000 μB/atom
# **Density**: 6.76 Mg/m³
# **E**: -88.4 eV for the cell shown
data_Co5PtSe12
_symmetry_space_group_name_H-M 'P 1'
_symmetry_Int_Tables_number 1
_symmetry_space_group_name_Hall 'P 1'
_cell_length_a 6.2375
_cell_length_b 6.1113
_cell_length_c 10.7728
_cell_angle_alpha 90.84
_cell_angle_beta 91.64
_cell_angle_gamma 59.31
loop_
_atom_site_label
_atom_site_type_symbol
_atom_site_fract_x
_atom_site_fract_y
_atom_site_fract_z
Co1 Co 0.5000 0.0000 0.5000
Co2 Co 0.1676 0.6647 0.5000
Co3 Co 0.8324 0.3353 0.5000
Co4 Co 0.6690 0.6620 0.0000
Co5 Co 0.3310 0.3380 0.0000
Pt1 Pt 0.0000 0.0000 0.0000
Se1 Se 0.8223 0.0000 0.3875
Se2 Se 0.1777 0.0000 0.6125
Se3 Se 0.6473 0.0000 0.8821
Se4 Se 0.3527 0.0000 0.1179
Se5 Se 0.3521 0.6487 0.8801
Se6 Se 0.9992 0.6487 0.1199
Se7 Se 0.0008 0.3513 0.8801
Se8 Se 0.6479 0.3513 0.1199
Se9 Se 0.5114 0.3331 0.6129
Se10 Se 0.8445 0.6669 0.6129
Se11 Se 0.1555 0.3331 0.3871
Se12 Se 0.4886 0.6669 0.3871

2.
# NaCaTl3 (GGA-PBE, relaxed)
# **M_tot**: 0.000 μB/atom
# **Calculated formation energy**: -0.193 eV/atom
# **Density**: 7.60 Mg/m³
# **E**: -22.8 eV for the cell shown
data_NaCaTl3
_symmetry_space_group_name_H-M 'P 1'
_symmetry_Int_Tables_number 1
_symmetry_space_group_name_Hall 'P 1'
_cell_length_a 5.5928
_cell_length_b 5.8259
_cell_length_c 9.4080
_cell_angle_alpha 74.49
_cell_angle_beta 90.00
_cell_angle_gamma 90.00
loop_
_atom_site_label
_atom_site_type_symbol
_atom_site_fract_x
_atom_site_fract_y
_atom_site_fract_z
Na1 Na 0.2500 0.8145 0.5278
Na2 Na 0.7500 0.1855 0.4722
Ca1 Ca 0.7500 0.9608 0.8743
Ca2 Ca 0.2500 0.0392 0.1257
Tl1 Tl 0.7500 0.3756 0.0897
Tl2 Tl 0.2500 0.6244 0.9103
Tl3 Tl 0.2500 0.2254 0.7166
Tl4 Tl 0.7500 0.7746 0.2834
Tl5 Tl 0.7500 0.5567 0.6842
Tl6 Tl 0.2500 0.4433 0.3158

3.
# Ga2FeSe4 (GGA-PBE, relaxed)
# **M_tot**: 0.571 μB/atom
# **Density**: 4.90 Mg/m³
# **E**: -31.6 eV for the cell shown
data_Ga2FeSe4
_symmetry_space_group_name_H-M 'P 1'
_symmetry_Int_Tables_number 1
_symmetry_space_group_name_Hall 'P 1'
_cell_length_a 5.5064
_cell_length_b 5.5064
_cell_length_c 5.7160
_cell_angle_alpha 90.00
_cell_angle_beta 90.00
_cell_angle_gamma 90.00
loop_
_atom_site_label
_atom_site_type_symbol
_atom_site_fract_x
_atom_site_fract_y
_atom_site_fract_z
Ga1 Ga 0.0000 0.5000 0.5000
Ga2 Ga 0.5000 0.0000 0.5000
Fe1 Fe 0.0000 0.0000 0.0000
Se1 Se 0.7393 0.7393 0.2357
Se2 Se 0.2607 0.2607 0.2357
Se3 Se 0.2607 0.7393 0.7643
Se4 Se 0.7393 0.2607 0.7643

4.
# DyMg3Sc2 (GGA-PBE, relaxed)
# **M_tot**: 0.000 μB/atom
# **Calculated formation energy**: -0.047 eV/atom
# **Density**: 3.66 Mg/m³
# **E**: -22.3 eV for the cell shown
data_DyMg3Sc2
_symmetry_space_group_name_H-M 'P 1'
_symmetry_Int_Tables_number 1
_symmetry_space_group_name_Hall 'P 1'
_cell_length_a 3.6577
_cell_length_b 3.6577
_cell_length_c 11.0189
_cell_angle_alpha 90.00
_cell_angle_beta 90.00
_cell_angle_gamma 90.00
loop_
_atom_site_label
_atom_site_type_symbol
_atom_site_fract_x
_atom_site_fract_y
_atom_site_fract_z
Dy1 Dy 0.5000 0.5000 0.5000
Mg1 Mg 0.0000 0.0000 0.0000
Mg2 Mg 0.0000 0.0000 0.6827
Mg3 Mg 0.0000 0.0000 0.3173
Sc1 Sc 0.5000 0.5000 0.8393
Sc2 Sc 0.5000 0.5000 0.1607

5.
# Pr6As2PtSe3 (GGA-PBE, relaxed)
# **M_tot**: 0.000 μB/atom
# **Density**: 7.08 Mg/m³
# **E**: -73.9 eV for the cell shown
data_Pr6As2PtSe3
_symmetry_space_group_name_H-M 'P 1'
_symmetry_Int_Tables_number 1
_symmetry_space_group_name_Hall 'P 1'
_cell_length_a 4.2552
_cell_length_b 8.6247
_cell_length_c 9.6144
_cell_angle_alpha 103.04
_cell_angle_beta 102.79
_cell_angle_gamma 90.00
loop_
_atom_site_label
_atom_site_type_symbol
_atom_site_fract_x
_atom_site_fract_y
_atom_site_fract_z
Pr1 Pr 0.3343 0.9110 0.6687
Pr2 Pr 0.6690 0.5780 0.3380
Pr3 Pr 0.6657 0.0890 0.3313
Pr4 Pr 0.0018 0.2407 0.0035
Pr5 Pr 0.9982 0.7593 0.9965
Pr6 Pr 0.3310 0.4220 0.6620
As1 As 0.8334 0.6660 0.6669
As2 As 0.1666 0.3340 0.3331
Pt1 Pt 0.5000 0.0000 0.0000
Se1 Se 0.5000 0.5000 0.0000
Se2 Se 0.8319 0.1669 0.6638
Se3 Se 0.1681 0.8331 0.3362

6.
# LiAc2B2O6 (GGA-PBE, relaxed)
# **M_tot**: 0.055 μB/atom
# **Density**: 6.85 Mg/m³
# **E**: -83.2 eV for the cell shown
data_LiAc2B2O6
_symmetry_space_group_name_H-M 'P 1'
_symmetry_Int_Tables_number 1
_symmetry_space_group_name_Hall 'P 1'
_cell_length_a 5.2339
_cell_length_b 5.3004
_cell_length_c 6.8271
_cell_angle_alpha 117.11
_cell_angle_beta 90.00
_cell_angle_gamma 119.59
loop_
_atom_site_label
_atom_site_type_symbol
_atom_site_fract_x
_atom_site_fract_y
_atom_site_fract_z
Li1 Li 0.5000 0.0000 0.5000
Ac1 Ac 0.7170 0.4341 0.2167
Ac2 Ac 0.2830 0.5659 0.7833
B1 B 0.9500 0.9000 0.7465
B2 B 0.0500 0.1000 0.2535
O1 O 0.7712 0.5424 0.6423
O2 O 0.1928 0.9206 0.1862
O3 O 0.2722 0.0794 0.8138
O4 O 0.8072 0.0794 0.8138
O5 O 0.7278 0.9206 0.1862
O6 O 0.2288 0.4576 0.3577

7.
# La4Pm6Er (GGA-PBE, relaxed)
# **M_tot**: 0.000 μB/atom
# **Calculated formation energy**: 0.249 eV/atom
# **Density**: 6.80 Mg/m³
# **E**: -50.0 eV for the cell shown
data_La4Pm6Er
_symmetry_space_group_name_H-M 'P 1'
_symmetry_Int_Tables_number 1
_symmetry_space_group_name_Hall 'P 1'
_cell_length_a 6.7663
_cell_length_b 6.7663
_cell_length_c 9.7535
_cell_angle_alpha 110.30
_cell_angle_beta 110.30
_cell_angle_gamma 90.00
loop_
_atom_site_label
_atom_site_type_symbol
_atom_site_fract_x
_atom_site_fract_y
_atom_site_fract_z
La1 La 0.0382 0.7130 0.7512
La2 La 0.9618 0.9618 0.2488
La3 La 0.7130 0.0382 0.7512
La4 La 0.2870 0.2870 0.2488
Pm1 Pm 0.8628 0.4944 0.3572
Pm2 Pm 0.4944 0.8628 0.3572
Pm3 Pm 0.5056 0.5056 0.6428
Pm4 Pm 0.0000 0.5000 0.0000
Pm5 Pm 0.1372 0.1372 0.6428
Pm6 Pm 0.5000 0.0000 0.0000
Er1 Er 0.5000 0.5000 0.0000

8.
# Th3AlCu2 (GGA-PBE, relaxed)
# **M_tot**: 0.000 μB/atom
# **Calculated formation energy**: -0.005 eV/atom
# **Density**: 9.37 Mg/m³
# **E**: -68.4 eV for the cell shown
data_Th3AlCu2
_symmetry_space_group_name_H-M 'P 1'
_symmetry_Int_Tables_number 1
_symmetry_space_group_name_Hall 'P 1'
_cell_length_a 6.9205
_cell_length_b 6.9205
_cell_length_c 6.9205
_cell_angle_alpha 74.64
_cell_angle_beta 74.64
_cell_angle_gamma 74.64
loop_
_atom_site_label
_atom_site_type_symbol
_atom_site_fract_x
_atom_site_fract_y
_atom_site_fract_z
Th1 Th 0.4268 0.0732 0.7500
Th2 Th 0.0732 0.7500 0.4268
Th3 Th 0.7500 0.4268 0.0732
Th4 Th 0.5732 0.9268 0.2500
Th5 Th 0.9268 0.2500 0.5732
Th6 Th 0.2500 0.5732 0.9268
Al1 Al 0.5000 0.5000 0.5000
Al2 Al 0.0000 0.0000 0.0000
Cu1 Cu 0.3345 0.3345 0.3345
Cu2 Cu 0.1655 0.1655 0.1655
Cu3 Cu 0.8345 0.8345 0.8345
Cu4 Cu 0.6655 0.6655 0.6655

9.
# CoSiP (GGA-PBE, relaxed)
# **M_tot**: 0.080 μB/atom
# **Density**: 5.21 Mg/m³
# **E**: -18.0 eV for the cell shown
data_CoSiP
_symmetry_space_group_name_H-M 'P 1'
_symmetry_Int_Tables_number 1
_symmetry_space_group_name_Hall 'P 1'
_cell_length_a 5.6184
_cell_length_b 5.6183
_cell_length_c 2.6669
_cell_angle_alpha 76.27
_cell_angle_beta 76.27
_cell_angle_gamma 27.46
loop_
_atom_site_label
_atom_site_type_symbol
_atom_site_fract_x
_atom_site_fract_y
_atom_site_fract_z
Co1 Co 0.9929 0.9929 0.0071
P1 P 0.3618 0.3618 0.6382
Si1 Si 0.6453 0.6453 0.3547

10.
# ThScTe (GGA-PBE, relaxed)
# **M_tot**: 0.000 μB/atom
# **Density**: 7.84 Mg/m³
# **E**: -74.1 eV for the cell shown
data_ThScTe
_symmetry_space_group_name_H-M 'P 1'
_symmetry_Int_Tables_number 1
_symmetry_space_group_name_Hall 'P 1'
_cell_length_a 3.7036
_cell_length_b 11.6268
_cell_length_c 8.3550
_cell_angle_alpha 78.10
_cell_angle_beta 102.81
_cell_angle_gamma 90.00
loop_
_atom_site_label
_atom_site_type_symbol
_atom_site_fract_x
_atom_site_fract_y
_atom_site_fract_z
Th1 Th 0.9306 0.6700 0.8611
Th2 Th 0.5725 0.8285 0.1450
Th3 Th 0.4275 0.1715 0.8550
Th4 Th 0.0694 0.3300 0.1389
Sc1 Sc 0.7718 0.3632 0.5436
Sc2 Sc 0.2484 0.1368 0.4967
Sc3 Sc 0.2282 0.6368 0.4564
Sc4 Sc 0.7516 0.8632 0.5033
Te1 Te 0.6056 0.5472 0.2112
Te2 Te 0.3764 0.9161 0.7527
Te3 Te 0.3944 0.4528 0.7888
Te4 Te 0.6236 0.0839 0.2473

11.
# LaCr2Sn2 (GGA-PBE, relaxed)
# **M_tot**: 0.000 μB/atom
# **Calculated formation energy**: -0.043 eV/atom
# **Density**: 7.30 Mg/m³
# **E**: -32.4 eV for the cell shown
data_LaCr2Sn2
_symmetry_space_group_name_H-M 'P 1'
_symmetry_Int_Tables_number 1
_symmetry_space_group_name_Hall 'P 1'
_cell_length_a 4.7587
_cell_length_b 4.7587
_cell_length_c 5.8828
_cell_angle_alpha 66.14
_cell_angle_beta 66.14
_cell_angle_gamma 90.00
loop_
_atom_site_label
_atom_site_type_symbol
_atom_site_fract_x
_atom_site_fract_y
_atom_site_fract_z
Cr1 Cr 0.4038 0.4038 0.1923
Cr2 Cr 0.5962 0.5962 0.8077
Sn1 Sn 0.7500 0.2500 0.5000
Sn2 Sn 0.2500 0.7500 0.5000
La1 La 0.0000 0.0000 0.0000

12.
# LaMgCl (GGA-PBE, relaxed)
# **M_tot**: 0.000 μB/atom
# **Density**: 3.87 Mg/m³
# **E**: -10.2 eV for the cell shown
data_LaMgCl
_symmetry_space_group_name_H-M 'P 1'
_symmetry_Int_Tables_number 1
_symmetry_space_group_name_Hall 'P 1'
_cell_length_a 4.9412
_cell_length_b 4.9412
_cell_length_c 4.9412
_cell_angle_alpha 60.00
_cell_angle_beta 60.00
_cell_angle_gamma 60.00
loop_
_atom_site_label
_atom_site_type_symbol
_atom_site_fract_x
_atom_site_fract_y
_atom_site_fract_z
Cl1 Cl 0.2500 0.2500 0.2500
La1 La 0.0000 0.0000 0.0000
Mg1 Mg 0.5000 0.5000 0.5000

Q: M_tot of number 5 (Pr6As2PtSe3)?
A: 0.000 μB/atom

Q: The highest M_tot belongs to which entry?
A: Ga2FeSe4

Q: Among the records above, which one has the lowest E?
A: Co5PtSe12